(1)
Here is CaAlP2 after structural relaxation from Alexandria. Energies are from PBE.

Cell and atoms, written as POSCAR:
```
CaAlP2
1.0
-2.207 2.207 3.814
2.207 -2.207 3.814
2.207 2.207 -3.814
Ca Al P
1 1 2
direct
0.000 0.000 0.000
0.500 0.500 0.000
0.250 0.750 0.500
0.750 0.250 0.500
```

Values from the calculation:
Magnetization = 0.00 μB/atom
DOS at the Fermi energy = 1.46 states/eV per cell

=====

(2)
Here is CaAlP3 after structural relaxation from Alexandria. Energies are from PBE.

Cell and atoms, written as POSCAR:
```
CaAlP3
1.0
5.161 0.000 0.000
0.000 5.161 0.000
0.000 0.000 5.161
Ca Al P
1 1 3
direct
0.000 0.000 0.000
0.500 0.500 0.500
0.000 0.000 0.500
0.000 0.500 0.000
0.500 0.000 0.000
```

Values from the calculation:
Magnetization = 0.00 μB/atom
Distance to the lowest polymorph of the same formula = 1109 meV/atom
DOS at the Fermi energy = 5.16 states/eV per cell

=====

(3)
Here is CaAlP2 after structural relaxation from Alexandria. Energies are from PBE.

Cell and atoms, written as POSCAR:
```
CaAlP2
1.0
3.487 0.000 0.000
0.000 3.595 0.000
0.000 0.000 5.906
Ca Al P
1 1 2
direct
0.000 0.000 0.000
0.000 0.000 0.500
0.500 0.500 0.303
0.500 0.500 0.697
```

Values from the calculation:
Magnetization = 0.00 μB/atom
DOS at the Fermi energy = 2.05 states/eV per cell

=====

(4)
Here is CaAlP2 after structural relaxation from Alexandria. Energies are from PBE.

Cell and atoms, written as POSCAR:
```
CaAlP2
1.0
3.502 0.000 0.000
0.000 3.502 0.000
0.000 0.000 7.280
Ca Al P
1 1 2
direct
0.000 0.000 0.000
0.500 0.500 0.511
0.000 0.000 0.607
0.500 0.500 0.186
```

Values from the calculation:
Magnetization = 0.09 μB/atom
DOS at the Fermi energy = 2.92 states/eV per cell

=====

(5)
Here is CaAlP after structural relaxation from Alexandria. Energies are from PBE.

Cell and atoms, written as POSCAR:
```
CaAlP
1.0
4.187 0.000 0.000
-2.094 3.626 0.000
0.000 0.000 24.992
Ca Al P
6 6 6
direct
0.000 0.000 0.000
0.000 0.000 0.162
0.000 0.000 0.331
0.000 0.000 0.500
0.000 0.000 0.662
0.000 0.000 0.831
0.333 0.667 0.081
0.333 0.667 0.238
0.333 0.667 0.924
0.667 0.333 0.424
0.667 0.333 0.581
0.667 0.333 0.738
0.333 0.667 0.407
0.333 0.667 0.581
0.333 0.667 0.754
0.667 0.333 0.081
0.667 0.333 0.254
0.667 0.333 0.907
```

Values from the calculation:
Magnetization = 0.00 μB/atom
DOS at the Fermi energy = 7.13 states/eV per cell

=====

(6)
Here is Ca2AlPPd6 after structural relaxation from Alexandria. Energies are from PBE.

Cell and atoms, written as POSCAR:
```
Ca2AlPPd6
1.0
5.496 -3.164 0.000
5.496 3.164 0.000
-3.721 0.000 5.799
Ca Al P Pd
2 1 1 6
direct
0.230 0.230 0.193
0.770 0.770 0.807
0.500 0.500 0.000
0.000 0.000 0.500
0.246 0.246 0.669
0.248 0.682 0.673
0.318 0.752 0.327
0.682 0.248 0.673
0.752 0.318 0.327
0.754 0.754 0.331
```

Values from the calculation:
Magnetization = 0.00 μB/atom
DOS at the Fermi energy = 4.20 states/eV per cell

=====

(7)
Here is Ca3AlP2Pd9 after structural relaxation from Alexandria. Energies are from PBE.

Cell and atoms, written as POSCAR:
```
Ca3AlP2Pd9
1.0
6.227 0.000 0.000
-3.114 5.393 0.000
0.000 0.000 8.924
Ca Al P Pd
3 1 2 9
direct
0.000 0.000 0.000
0.333 0.667 0.661
0.667 0.333 0.339
0.000 0.000 0.500
0.333 0.667 0.167
0.667 0.333 0.833
0.000 0.500 0.000
0.148 0.297 0.286
0.148 0.852 0.286
0.297 0.148 0.714
0.500 0.000 0.000
0.500 0.500 0.000
0.703 0.852 0.286
0.852 0.148 0.714
0.852 0.703 0.714
```

Values from the calculation:
Magnetization = 0.00 μB/atom
DOS at the Fermi energy = 6.90 states/eV per cell

=====

(8)
Here is Ca3AlP2Pt9 after structural relaxation from Alexandria. Energies are from PBE.

Cell and atoms, written as POSCAR:
```
Ca3AlP2Pt9
1.0
5.729 0.000 0.000
-2.864 4.961 0.000
0.000 0.000 10.390
Ca Al P Pt
3 1 2 9
direct
0.000 0.000 0.000
0.333 0.667 0.585
0.667 0.333 0.415
0.000 0.000 0.500
0.333 0.667 0.160
0.667 0.333 0.840
0.000 0.500 0.000
0.160 0.320 0.310
0.160 0.840 0.310
0.320 0.160 0.690
0.500 0.000 0.000
0.500 0.500 0.000
0.680 0.840 0.310
0.840 0.160 0.690
0.840 0.680 0.690
```

Values from the calculation:
Magnetization = 0.00 μB/atom
DOS at the Fermi energy = 7.96 states/eV per cell

=====

Ordered formation energy from the elements results: -192, 1113, -325, -377, -544, -685, -674, -735; unit meV/atom.
Ordered ρ results: 2.882, 1.932, 2.894, 2.400, 2.574, 6.396, 6.466, 11.050; unit g/cm³.